A relaxed structure of NaCoRu. Source: the Alexandria database, functional PBE-GGA.

Cell: 2.593 3.614 10.829 Å, 90.00 90.00 90.00°
Atoms (fractional coordinates):
Na1 0.000 0.000 0.000
Na2 0.500 0.500 0.500
Co1 0.000 0.000 0.297
Co2 0.500 0.500 0.797
Ru1 0.000 0.000 0.714
Ru2 0.500 0.500 0.214

SG: Imm2
VASP energy, eV/atom: -5.36